A relaxed Tb2PmPd crystal, computed with PBE.

It has space group Cmcm (No. 63), with a = 3.802 Å, b = 12.499 Å, c = 9.427 Å, α = 90.00°, β = 90.00° and γ = 90.00°. The distinct sites, in fractional coordinates, are Tb at (0.000, 0.136, 0.060), Pm at (0.000, 0.437, 0.250) and Pd at (0.000, 0.265, 0.750).

The formation enthalpy at 0 K comes out at -435 meV per atom. Its calculated total energy is -5.236 eV per atom. As for the offset from the most stable computed form: 17 meV/atom.